The following is a DFT calculation (PBE) of an optimized crystal structure of Ce6PuHg2Au.

Values from the calculation:
energy of formation from the pure elements	-0.3369	eV per atom
magnetization	0.000	μB per atom
density of states at the Fermi level	16.5	states/eV/f.u.

Unit cell a=6.635 b=7.962 c=10.577 alpha=90.00 beta=87.00 gamma=90.00
Element x y z (fractional)
1 Ce 0.108 0.473 0.774
2 Ce 0.866 0.782 0.953
3 Ce 0.321 0.646 0.042
4 Ce 0.892 0.527 0.226
5 Ce 0.608 0.027 0.274
6 Ce 0.821 0.854 0.542
7 Ce 0.392 0.973 0.726
8 Ce 0.679 0.354 0.958
9 Ce 0.366 0.718 0.453
10 Ce 0.134 0.218 0.047
11 Ce 0.634 0.282 0.547
12 Ce 0.179 0.146 0.458
13 Pu 0.000 0.500 0.000
14 Pu 0.500 0.000 0.500
15 Hg 0.074 0.900 0.238
16 Hg 0.926 0.100 0.762
17 Hg 0.426 0.400 0.262
18 Hg 0.574 0.600 0.738
19 Au 0.500 0.000 0.000
20 Au 0.000 0.500 0.500